Entry from Alexandria via LeMat-Bulk: a geometry-optimized Ac2DyCrO6 structure (PBE with a Hubbard U).

```
10
Lattice="5.922 0.000 -0.317 0.000 5.853 0.000 -2.827 -2.926 4.327" Properties=species:S:1:pos:R:3 pbc="T T T"
O -1.279 -1.514 3.788
O 4.374 4.440 0.222
O -1.279 1.514 3.788
O 2.466 0.000 1.847
O 0.629 2.926 2.162
O 4.374 1.412 0.222
Dy 0.000 2.926 0.000
Ac -0.017 0.000 2.114
Ac 3.113 2.926 1.896
Cr 2.961 0.000 -0.158
```

Results
N(E_F) ... 0.00 states/eV/cell
E_tot ... -8.079 eV per atom
SG ... C2/m, No. 12